(1)
# PBE-GGA CuMo5, optimized geometry
# Energy of formation from the pure elements   0.1581 eV per atom
# Magnetic moment   0.0 μB per formula unit
# Energy relative to the lowest polymorph listed for this composition   0 meV/atom
data_CuMo5
_cell_length_a 4.3360
_cell_length_b 13.0563
_cell_length_c 3.2507
_cell_angle_alpha 90.00
_cell_angle_beta 90.00
_cell_angle_gamma 90.00
_space_group_name_H-M_alt 'C m m m'
_space_group_IT_number 65
_space_group_name_Hall '-C 2 2'
loop_
_atom_site_label
_atom_site_type_symbol
_atom_site_fract_x
_atom_site_fract_y
_atom_site_fract_z
Cu1 Cu 0.0000 0.0000 0.0000
Mo1 Mo 0.0000 0.1669 0.5000
Mo2 Mo 0.0000 0.3386 0.0000
Mo3 Mo 0.0000 0.5000 0.5000

***

(2)
# PBE-GGA Tl2CdTcTe, optimized geometry
# E   -3.2345 eV per atom
# Magnetic moment   2.6 μB per formula unit
data_Tl2CdTcTe
_cell_length_a 5.3965
_cell_length_b 5.3965
_cell_length_c 5.3936
_cell_angle_alpha 90.00
_cell_angle_beta 90.00
_cell_angle_gamma 90.00
_space_group_name_H-M_alt 'P 4/m m m'
_space_group_IT_number 123
_space_group_name_Hall '-P 4 2'
loop_
_atom_site_label
_atom_site_type_symbol
_atom_site_fract_x
_atom_site_fract_y
_atom_site_fract_z
Tl1 Tl 0.0000 0.5000 0.0000
Cd1 Cd 0.0000 0.0000 0.5000
Tc1 Tc 0.0000 0.0000 0.0000
Te1 Te 0.5000 0.5000 0.5000

***

(3)
# PBE-GGA Tb3Ho4Tm, optimized geometry
# Energy of formation from the pure elements   0.1896 eV per atom
# Magnetic moment   0.0 μB per formula unit
# Energy relative to the lowest polymorph listed for this composition   185 meV/atom
data_Tb3Ho4Tm
_cell_length_a 5.5866
_cell_length_b 25.9020
_cell_length_c 3.5331
_cell_angle_alpha 90.00
_cell_angle_beta 90.00
_cell_angle_gamma 90.00
_space_group_name_H-M_alt 'C m m m'
_space_group_IT_number 65
_space_group_name_Hall '-C 2 2'
loop_
_atom_site_label
_atom_site_type_symbol
_atom_site_fract_x
_atom_site_fract_y
_atom_site_fract_z
Tb1 Tb 0.0000 0.0000 0.0000
Tb2 Tb 0.0000 0.1542 0.5000
Ho1 Ho 0.0000 0.2771 0.0000
Ho2 Ho 0.0000 0.3971 0.0000
Tm1 Tm 0.0000 0.5000 0.5000

***

(4)
# PBE-GGA MgIn3Ni, optimized geometry
# Energy of formation from the pure elements   0.9023 eV per atom
# Magnetic moment   0.7 μB per formula unit
# Energy relative to the lowest polymorph listed for this composition   962 meV/atom
data_MgIn3Ni
_cell_length_a 5.3612
_cell_length_b 5.3612
_cell_length_c 5.3612
_cell_angle_alpha 90.00
_cell_angle_beta 90.00
_cell_angle_gamma 90.00
_space_group_name_H-M_alt 'P m -3 m'
_space_group_IT_number 221
_space_group_name_Hall '-P 4 2 3'
loop_
_atom_site_label
_atom_site_type_symbol
_atom_site_fract_x
_atom_site_fract_y
_atom_site_fract_z
Mg1 Mg 0.0000 0.0000 0.0000
In1 In 0.0000 0.0000 0.5000
Ni1 Ni 0.5000 0.5000 0.5000